No. 1
VASP calculation (PBE) on a geometry-optimized YHfIO2 structure.

Geometry as POSCAR:
```
YHfIO2
1.0
4.1513 0.0000 0.0000
0.0000 6.5147 0.0000
0.0000 0.0000 4.1513
I Y Hf O
1 1 1 2
direct
0.5000 0.5000 0.5000
0.0000 0.5000 0.0000
0.0000 0.0000 0.0000
0.0000 0.0000 0.5000
0.5000 0.0000 0.0000
```

Values from the calculation:
SG: P4/mmm (123)
Total energy (eV per atom): -7.206
Polymorph energy (0 for the lowest one) (meV per atom): 0



No. 2
VASP calculation (PBE) on a geometry-optimized YHfIO2 structure.

Geometry as POSCAR:
```
YHfIO2
1.0
-3.1475 1.5357 -2.2165
-0.7279 -3.7642 -1.5744
-3.7978 -1.1795 4.5757
I Y Hf O
1 1 1 2
direct
0.0000 0.0000 0.5000
0.5000 0.5000 0.5000
0.0000 0.0000 0.0000
0.0000 0.5000 0.0000
0.5000 0.0000 0.0000
```

Values from the calculation:
SG: P4/mmm (123)
Total energy (eV per atom): -7.170
Polymorph energy (0 for the lowest one) (meV per atom): 37



The evaluated raw formation energy for the records listed, in turn: -8.1, -8.0 eV per formula unit.